# 1
LiCaGeAu3 | PBE | relaxed

## Properties
Its total energy is -3.445 eV/atom. As for the volume: 20.55 A^3/atom. The calculation puts the formation energy at -385 meV/atom.

Cell: 5.932 6.759 7.017 Å, 118.79 90.00 90.00°
Element x y z (fractional)
Au: 0.000 0.719 0.000
Au: 0.500 0.719 0.000
Au: 0.250 0.154 0.307
Au: 0.000 0.281 0.000
Au: 0.750 0.846 0.693
Au: 0.500 0.281 0.000
Ca: 0.250 0.695 0.390
Ca: 0.750 0.305 0.610
Li: 0.750 0.064 0.128
Li: 0.250 0.936 0.872
Ge: 0.750 0.639 0.278
Ge: 0.250 0.361 0.722

# 2
Pa3Fe2Si4 | PBE | relaxed

## Properties
Its total energy is -8.064 eV/atom. Its formation energy without anion corrections is -0.61 eV per atom. As for the volume: 17.59 A^3/atom.

Cell: 4.035 5.624 7.866 Å, 106.96 90.00 111.02°
Element x y z (fractional)
Si: 0.281 0.561 0.925
Si: 0.719 0.439 0.075
Si: 0.899 0.797 0.609
Si: 0.101 0.203 0.391
Fe: 0.699 0.397 0.362
Fe: 0.301 0.603 0.638
Pa: 0.619 0.238 0.681
Pa: 0.381 0.762 0.319
Pa: 0.000 0.000 0.000

# 3
NbPdF2 | PBE | relaxed

## Properties
Its total energy is -5.384 eV/atom. Its formation energy without anion corrections is -0.63 eV per atom. As for the volume: 12.88 A^3/atom.

Cell: 4.176 4.176 4.176 Å, 60.00 60.00 60.00°
Element x y z (fractional)
Pd: 0.500 0.500 0.500
F: 0.250 0.250 0.250
F: 0.750 0.750 0.750
Nb: 0.000 0.000 0.000

# 4
Pm3Cd2Cu3 | PBE | relaxed

## Properties
Its total energy is -3.703 eV/atom. As for the volume: 22.62 A^3/atom. The calculation puts the formation energy at -156 meV/atom.

Cell: 3.552 5.107 10.448 Å, 104.15 99.79 90.00°
Element x y z (fractional)
Cu: 0.879 0.879 0.757
Cu: 0.000 0.500 0.000
Cu: 0.121 0.121 0.243
Cd: 0.269 0.769 0.538
Cd: 0.731 0.231 0.462
Pm: 0.500 0.000 0.000
Pm: 0.374 0.374 0.748
Pm: 0.626 0.626 0.252

no.,total magnetic moment (μB per formula unit)
1,0.0
2,0.0
3,0.0
4,0.0